Below is Tm3IrPd after structural relaxation, with properties calculated at the PBE level.

The structure in extended XYZ format:
```
10
Lattice="6.835 0.000 0.000 3.416 5.925 0.000 3.417 1.975 6.318" Properties=species:S:1:pos:R:3 pbc="T T T"
Tm 2.942 2.859 1.647
Tm 7.363 6.780 4.664
Tm 6.129 4.908 1.652
Tm 7.539 2.993 4.666
Tm 6.306 1.120 1.654
Tm 10.727 5.041 4.671
Ir 5.124 2.965 3.311
Ir 8.545 4.935 3.007
Pd 5.124 2.961 6.209
Pd 8.545 4.940 0.108
```

Properties
- ΔH_f (0 K): -70.0 kJ/mol of atoms
- Crystal system: triclinic
- Calculated total energy: -6.219 eV per atom
- DOS(E_F): 0.468 states/eV per atom